A plane-wave DFT calculation with PBE-GGA was carried out for crystalline TeMo at its relaxed geometry.

Total magnetization = 0.000 μB per atom
Offset from the most stable computed form = 0.714 eV/atom
Raw formation energy = 0.700 eV per atom

Cell: 4.324 4.324 8.348 Å, 90.00 90.00 90.00°
Space group I4_1/amd (No. 141, origin choice 2)
Asymmetric unit:
1 Te 0.000 0.250 0.375 x4
2 Mo 0.000 0.250 0.875 x4



A plane-wave DFT calculation with PBE-GGA was carried out for crystalline TeMo at its relaxed geometry.

Total magnetization = 0.000 μB per atom
Offset from the most stable computed form = 0.326 eV/atom
Raw formation energy = 0.311 eV per atom

Cell: 8.716 9.059 10.536 Å, 90.00 90.00 90.00°
Space group Fddd (No. 70, origin choice 2)
Asymmetric unit:
1 Te 0.086 0.375 0.375 x16
2 Mo 0.125 0.125 0.515 x16



A plane-wave DFT calculation with PBE-GGA was carried out for crystalline Te2Mo at its relaxed geometry.

Total magnetization = 1.014 μB per atom
Raw formation energy = 1.143 eV per atom

Cell: 5.2459 5.2459 3.1756 Å, 90.00 90.00 120.00°
Space group P6/mmm (No. 191)
Asymmetric unit:
1 Te 0.3333 0.6667 0.0000 x2
2 Mo 0.0000 0.0000 0.5000 x1



A plane-wave DFT calculation with PBE-GGA was carried out for crystalline Te3Mo5 at its relaxed geometry.

Total magnetization = 0.000 μB per atom
Offset from the most stable computed form = 0.305 eV/atom
Raw formation energy = 0.641 eV per atom

Cell: 7.5690 7.5690 5.9538 Å, 90.00 90.00 120.00°
Space group P6_3/mcm (No. 193)
Asymmetric unit:
1 Te 0.0000 0.4046 0.2500 x6
2 Mo 0.0000 0.2203 0.7500 x6
3 Mo 0.3333 0.6667 0.0000 x4



A plane-wave DFT calculation with PBE-GGA was carried out for crystalline Te5Mo at its relaxed geometry.

Total magnetization = 0.000 μB per atom
Offset from the most stable computed form = 0.132 eV/atom
Raw formation energy = 0.136 eV per atom

Cell: 5.994 3.782 15.453 Å, 90.00 90.00 90.00°
Space group Amm2 (No. 38)
Asymmetric unit:
1 Te 0.000 0.000 0.000 x2
2 Te 0.000 0.000 0.255 x2
3 Te 0.500 0.000 0.295 x2
4 Te 0.500 0.000 0.634 x2
5 Te 0.500 0.000 0.945 x2
6 Mo 0.000 0.000 0.626 x2



A plane-wave DFT calculation with PBE-GGA was carried out for crystalline TeMo at its relaxed geometry.

Total magnetization = 0.000 μB per atom
Offset from the most stable computed form = 0.305 eV/atom
Raw formation energy = 0.291 eV per atom

Cell: 10.2319 10.2319 3.7067 Å, 90.00 90.00 120.00°
Space group P6_3/m (No. 176)
Asymmetric unit:
1 Te 0.0860 0.7421 0.2500 x6
2 Mo 0.0755 0.4766 0.2500 x6



> What is the total magnetization in the third record?

1.014 μB per atom



> Which of these has the highest raw formation energy?

Te2Mo



> total magnetization of number 1 (TeMo)?

0.000 μB per atom



> The highest raw formation energy belongs to which entry?

Te2Mo